No. 1
Compound: TbNd2Pd
Source: Alexandria
Functional: PBE-GGA
Structure: optimized geometry

abc: 3.882 6.380 9.911
angles: 90.00 90.00 107.71
Fractional positions:
Tb 0.925 0.850 0.250
Tb 0.075 0.150 0.750
Nd 0.365 0.729 0.560
Nd 0.635 0.271 0.440
Nd 0.365 0.729 0.940
Nd 0.635 0.271 0.060
Pd 0.765 0.529 0.750
Pd 0.235 0.471 0.250

E_form (eV per atom): -0.401
VASP energy (eV per atom): -5.24
Polymorph energy (0 for the lowest one) (meV/atom): 0.0

---

No. 2
Compound: TbNd2Pd
Source: Alexandria
Functional: PBE-GGA
Structure: optimized geometry

abc: 3.789 3.789 10.099
angles: 79.19 79.19 60.00
Fractional positions:
Nd 0.267 0.267 0.199
Nd 0.733 0.733 0.801
Tb 0.500 0.500 0.500
Pd 0.000 0.000 0.000

E_form (eV per atom): -0.245
VASP energy (eV per atom): -5.08
Polymorph energy (0 for the lowest one) (meV/atom): 155.9

---

No. 3
Compound: TbNd3Pd12
Source: Alexandria
Functional: PBE-GGA
Structure: optimized geometry

abc: 4.178 4.178 16.807
angles: 90.00 90.00 90.00
Fractional positions:
Tb 0.000 0.000 0.000
Nd 0.000 0.000 0.247
Nd 0.000 0.000 0.500
Nd 0.000 0.000 0.753
Pd 0.500 0.500 0.000
Pd 0.500 0.500 0.248
Pd 0.500 0.500 0.500
Pd 0.500 0.500 0.752
Pd 0.500 0.000 0.121
Pd 0.500 0.000 0.374
Pd 0.500 0.000 0.626
Pd 0.500 0.000 0.879
Pd 0.000 0.500 0.121
Pd 0.000 0.500 0.374
Pd 0.000 0.500 0.626
Pd 0.000 0.500 0.879

E_form (eV per atom): -0.791
VASP energy (eV per atom): -5.87

---

No. 4
Compound: TbNdPd
Source: Alexandria
Functional: PBE-GGA
Structure: optimized geometry

abc: 4.980 4.980 4.980
angles: 60.00 60.00 60.00
Fractional positions:
Nd 0.000 0.000 0.000
Tb 0.500 0.500 0.500
Pd 0.250 0.250 0.250

E_form (eV per atom): -0.409
VASP energy (eV per atom): -5.27
Polymorph energy (0 for the lowest one) (meV/atom): 86.3

---

No. 5
Compound: Tb2NdPd2
Source: Alexandria
Functional: PBE-GGA
Structure: optimized geometry

abc: 4.703 4.703 6.895
angles: 110.77 110.77 90.07
Fractional positions:
Tb 0.249 0.751 0.500
Tb 0.751 0.249 0.500
Nd 0.000 0.000 0.000
Pd 0.605 0.605 0.222
Pd 0.395 0.395 0.778

E_form (eV per atom): -0.531
VASP energy (eV per atom): -5.41
Polymorph energy (0 for the lowest one) (meV/atom): 148.2

---

No. 6
Compound: TbNd2Pd
Source: Alexandria
Functional: PBE-GGA
Structure: optimized geometry

abc: 3.856 3.856 9.864
angles: 78.73 78.73 60.00
Fractional positions:
Tb 0.500 0.500 0.501
Nd 0.066 0.066 0.801
Nd 0.267 0.267 0.198
Pd 0.667 0.667 0.000

E_form (eV per atom): -0.237
VASP energy (eV per atom): -5.08
Polymorph energy (0 for the lowest one) (meV/atom): 163.8

---

No. 7
Compound: TbNdZnPd
Source: Alexandria
Functional: PBE-GGA
Structure: optimized geometry

abc: 3.625 3.625 7.125
angles: 90.00 90.00 90.00
Fractional positions:
Tb 0.000 0.000 0.349
Nd 0.000 0.000 0.860
Zn 0.500 0.500 0.592
Pd 0.500 0.500 0.127

E_form (eV per atom): -0.570
VASP energy (eV per atom): -4.54
Polymorph energy (0 for the lowest one) (meV/atom): 0.0

---

No. 8
Compound: TbNdZnPd
Source: Alexandria
Functional: PBE-GGA
Structure: optimized geometry

abc: 5.102 5.102 5.102
angles: 60.00 60.00 60.00
Fractional positions:
Nd 0.750 0.750 0.750
Zn 0.000 0.000 0.000
Tb 0.250 0.250 0.250
Pd 0.500 0.500 0.500

E_form (eV per atom): -0.540
VASP energy (eV per atom): -4.51
Polymorph energy (0 for the lowest one) (meV/atom): 30.6